## BaAs2Ir (PBE)

Data for a relaxed structure of BaAs2Ir.

Structure (extended XYZ):
```
4
Lattice="2.213 -2.716 0.000 2.213 2.716 0.000 0.000 0.000 7.470" Properties=species:S:1:pos:R:3 pbc="T T T"
Ba 0.000 0.000 0.000
As 2.213 0.000 2.407
As 2.213 0.000 5.063
Ir 0.000 0.000 3.735
```

size of the total moment	0.00	μB/atom
SG	Cmmm, No. 65
energy	-5.116	eV per atom